# 1
DyHoGe2 | OQMD via LeMat-Bulk | PBE | relaxed; space-group type = Amm2; calculated total energy = -18.23 eV per formula unit
1.0
3.245 0.000 0.000
0.000 2.915 5.744
0.000 -2.915 5.744
Dy Ho Ge
1 1 2
Cartesian
0.000 0.000 0.000
0.000 0.000 3.438
0.000 0.000 6.230
0.000 0.000 8.687


# 2
DyEr2In3AgPd2 | OQMD via LeMat-Bulk | PBE | relaxed; space-group type = Amm2; calculated total energy = -41.33 eV per formula unit
1.0
3.757 0.000 0.000
0.000 6.782 3.912
0.000 -6.782 3.912
Dy Er In Ag Pd
1 2 3 1 2
Cartesian
0.000 0.000 0.000
0.000 -2.766 4.786
0.000 2.766 4.786
1.879 -1.834 2.138
1.879 1.834 2.138
1.879 0.000 5.301
0.000 0.000 3.194
1.879 -4.506 3.187
1.879 4.506 3.187


# 3
FeNiBMo | OQMD via LeMat-Bulk | PBE | relaxed; space-group type = F-43m; ΔE to the lowest computed polymorph = 6.2 meV per atom; calculated total energy = -30.55 eV per formula unit
1.0
0.000 2.797 2.797
2.797 0.000 2.797
2.797 2.797 0.000
Fe Ni B Mo
1 1 1 1
Cartesian
0.000 0.000 0.000
1.398 1.398 1.398
4.195 4.195 4.195
2.797 2.797 2.797


Question: The highest calculated total energy belongs to which entry?
Answer: DyHoGe2


Question: calculated total energy of number 2 (DyEr2In3AgPd2)?
Answer: -41.33 eV per formula unit